[1]
Entry from the Alexandria database: crystalline InAgPH2 at its relaxed geometry (PBEsol).

Lattice parameters (Å, degrees): 3.606 3.606 6.029 90.00 90.00 90.00
Atoms (fractional coordinates):
P1 0.500 0.500 0.500
H1 0.500 0.000 0.000
H2 0.000 0.500 0.000
In1 0.000 0.000 0.500
Ag1 0.000 0.000 0.000

Properties
For the total energy, the calculation gives -16.38 eV/cell. The spin magnetization is 0.35 μB per formula unit. The crystal system is tetragonal. As for the density: 5.415 g/cm3.

=====

[2]
Entry from the Alexandria database: crystalline YNb2InOs at its relaxed geometry (PBEsol).

Lattice parameters (Å, degrees): 4.732 4.732 5.177 90.00 90.00 90.00
Atoms (fractional coordinates):
Y1 0.000 0.000 0.000
Os1 0.500 0.500 0.500
In1 0.000 0.000 0.500
Nb1 0.000 0.500 0.000
Nb2 0.500 0.000 0.000

Properties
For the total energy, the calculation gives -31.16 eV/cell. The spin magnetization is 0.97 μB per formula unit. The crystal system is tetragonal. As for the density: 8.304 g/cm3.

=====

[3]
Entry from the Alexandria database: crystalline RbW3F at its relaxed geometry (PBEsol).

Lattice parameters (Å, degrees): 4.448 4.448 4.448 90.00 90.00 90.00
Atoms (fractional coordinates):
F1 0.000 0.000 0.000
W1 0.500 0.000 0.000
W2 0.000 0.000 0.500
W3 0.000 0.500 0.000
Rb1 0.500 0.500 0.500

Properties
The spin magnetization is 0.00 μB per formula unit. Its energy relative to the elements, uncorrected is 2.1415 eV/atom. The crystal system is cubic. As for the density: 12.377 g/cm3.

=====

[4]
Entry from the Alexandria database: crystalline Rb2LiVCl6 at its relaxed geometry (PBEsol).

Lattice parameters (Å, degrees): 5.946 6.922 6.922 120.00 90.00 90.00
Atoms (fractional coordinates):
Rb1 0.734 0.667 0.333
Rb2 0.266 0.333 0.667
Cl1 0.733 0.681 0.840
Cl2 0.267 0.319 0.160
Cl3 0.733 0.160 0.319
Cl4 0.733 0.160 0.840
Cl5 0.267 0.840 0.160
Cl6 0.267 0.840 0.681
V1 0.500 0.000 0.000
Li1 0.000 0.000 0.000

Properties
The spin magnetization is 2.00 μB per formula unit. Its energy relative to the elements, uncorrected is -1.6789 eV/atom. For the energy relative to the lowest polymorph listed for this composition, the calculation gives 0 meV/atom. The crystal system is trigonal. As for the density: 2.972 g/cm3.

=====

[5]
Entry from the Alexandria database: crystalline Na2V2O5 at its relaxed geometry (PBEsol).

Lattice parameters (Å, degrees): 5.304 5.438 8.029 109.80 109.29 90.00
Atoms (fractional coordinates):
Na1 0.897 0.922 0.791
Na2 0.606 0.632 0.209
Na3 0.397 0.368 0.791
Na4 0.106 0.078 0.209
V1 0.205 0.675 0.500
V2 0.011 0.500 0.000
V3 0.705 0.325 0.500
V4 0.511 0.000 0.000
O1 0.385 0.916 0.715
O2 0.170 0.702 0.285
O3 0.365 0.379 0.500
O4 0.273 0.259 0.022
O5 0.773 0.263 0.022
O6 0.670 0.084 0.285
O7 0.752 0.737 0.978
O8 0.865 0.621 0.500
O9 0.252 0.741 0.978
O10 0.885 0.298 0.715

Properties
The spin magnetization is 1.96 μB per formula unit. Its energy relative to the elements, uncorrected is -2.1909 eV/atom. The crystal system is orthorhombic. As for the density: 3.709 g/cm3.

=====

[6]
Entry from the Alexandria database: crystalline CsTaPt3 at its relaxed geometry (PBEsol).

Lattice parameters (Å, degrees): 4.965 4.965 4.965 90.00 90.00 90.00
Atoms (fractional coordinates):
Pt1 0.000 0.500 0.000
Pt2 0.000 0.000 0.500
Pt3 0.500 0.000 0.000
Ta1 0.500 0.500 0.500
Cs1 0.000 0.000 0.000

Properties
For the total energy, the calculation gives -20.91 eV/cell. The spin magnetization is 2.23 μB per formula unit. The crystal system is cubic. As for the density: 12.197 g/cm3.

=====

[7]
Entry from the Alexandria database: crystalline In3BrN at its relaxed geometry (PBEsol).

Lattice parameters (Å, degrees): 4.900 4.900 4.900 90.00 90.00 90.00
Atoms (fractional coordinates):
N1 0.000 0.000 0.000
In1 0.000 0.000 0.500
In2 0.000 0.500 0.000
In3 0.500 0.000 0.000
Br1 0.500 0.500 0.500

Properties
The spin magnetization is 0.00 μB per formula unit. Its energy relative to the elements, uncorrected is 0.2921 eV/atom. The crystal system is cubic. As for the density: 6.187 g/cm3.

=====

[8]
Entry from the Alexandria database: crystalline CrSb2TeSe at its relaxed geometry (PBEsol).

Lattice parameters (Å, degrees): 4.815 4.983 4.983 90.00 90.00 90.00
Atoms (fractional coordinates):
Sb1 0.000 0.000 0.500
Sb2 0.000 0.500 0.000
Se1 0.500 0.500 0.500
Cr1 0.000 0.000 0.000
Te1 0.500 0.000 0.000

Properties
The spin magnetization is 0.00 μB per formula unit. Its energy relative to the elements, uncorrected is 0.3276 eV/atom. The crystal system is tetragonal. As for the density: 6.972 g/cm3.

=====

Question: Among the records above, which one has the highest spin magnetization?
Answer: CsTaPt3

=====

Question: Which formula does entry 2 have?
Answer: YNb2InOs